(1)
Here is crystalline MgH2Pd3 at its relaxed geometry from the Alexandria database. Energies are from PBE-GGA.

The space group is I4/mmm (No. 139) and the conventional cell measures 3.990, 3.990 and 8.561 Å, with angles of 90.00, 90.00 and 90.00 degrees. The asymmetric unit holds Mg at (0.000, 0.000, 0.000), H at (0.000, 0.000, 0.285), Pd at (0.000, 0.000, 0.500) and Pd at (0.000, 0.500, 0.250).

The calculated total energy is -4.379 eV/atom. Its total magnetic moment is 0.00 μB per cell. The polymorph energy (0 for the lowest one) is 0.0000 eV/atom.

=====

(2)
Here is crystalline MnVNi3 at its relaxed geometry from the Alexandria database. Energies are from PBE-GGA.

The space group is P-1 (No. 2) and the conventional cell measures 4.438, 4.863 and 6.598 Å, with angles of 110.25, 90.15 and 117.01 degrees. The asymmetric unit holds Mn at (0.158, 0.119, 0.352), V at (0.464, 0.120, 0.848), Ni at (0.061, 0.295, 0.045), Ni at (0.261, 0.705, 0.448) and Ni at (0.331, 0.504, 0.751).

The calculated total energy is -7.230 eV/atom. Its total magnetic moment is 5.94 μB per cell. Its formation energy from the elements is -103.3 meV/atom. The polymorph energy (0 for the lowest one) is 0.0000 eV/atom.

=====

(3)
Here is crystalline Sr2LiPH at its relaxed geometry from the Alexandria database. Energies are from PBE-GGA.

The space group is P2_1/m (No. 11) and the conventional cell measures 6.321, 4.354 and 9.011 Å, with angles of 90.00, 110.41 and 90.00 degrees. The asymmetric unit holds Sr at (0.175, 0.250, 0.407), Sr at (0.270, 0.750, 0.060), Li at (0.372, 0.750, 0.727), P at (0.180, 0.250, 0.780) and H at (0.314, 0.250, 0.187).

The calculated total energy is -3.484 eV/atom. Its total magnetic moment is 0.00 μB per cell. The polymorph energy (0 for the lowest one) is 0.0000 eV/atom.